CdNi2 | PBE-GGA | optimized geometry

Values from the calculation:
The uncorrected energy comes out at -3.980 eV/atom. The formation enthalpy at 0 K comes out at 0.179 eV per atom. Its spin magnetization is 0.260 μB per atom.

Unit cell a=8.2044 b=8.2044 c=3.9814 alpha=90.00 beta=90.00 gamma=160.58
Closest atoms and distances in Å follow each position.
Atoms (fractional coordinates):
Ni 0.9533 0.0467 0.2500  8 Ni 2.44-2.50, 2 Cd 2.72
Ni 0.5774 0.4226 0.2500  6 Ni 2.44-2.47, 2 Cd 2.72
Ni 0.4226 0.5774 0.7500  6 Ni 2.44-2.47, 2 Cd 2.72
Ni 0.0467 0.9533 0.7500  8 Ni 2.44-2.50, 2 Cd 2.72
Cd 0.3082 0.6918 0.2500  4 Ni 2.72, 2 Cd 2.77
Cd 0.6918 0.3082 0.7500  4 Ni 2.72, 2 Cd 2.77


Cd5Ni3 | PBE-GGA | optimized geometry

Values from the calculation:
The energy above the lowest structure with this stoichiometry is 15.0 meV per atom. The uncorrected energy comes out at -2.649 eV/atom. The formation enthalpy at 0 K comes out at 0.091 eV per atom. Its spin magnetization is 0.000 μB per atom.

Unit cell a=5.6825 b=5.6825 c=4.1872 alpha=90.00 beta=90.00 gamma=95.59
Closest atoms and distances in Å follow each position.
Atoms (fractional coordinates):
Ni 0.2368 0.7632 0.5000  10 Cd 2.77-2.94, 2 Ni 3.05
Cd 0.2822 0.2822 0.5000  6 Ni 2.67-2.94, 4 Cd 2.98
Cd 0.7178 0.7178 0.5000  6 Ni 2.67-2.94, 4 Cd 2.98
Ni 0.5000 0.5000 0.0000  8 Cd 2.67-2.84
Cd 0.0000 0.5000 0.0000  6 Ni 2.84, 6 Cd 2.84-2.98
Ni 0.7632 0.2368 0.5000  10 Cd 2.77-2.94, 2 Ni 3.05
Cd 0.0000 0.0000 0.0000  8 Cd 2.84-3.00, 4 Ni 2.89
Cd 0.5000 0.0000 0.0000  6 Ni 2.84, 6 Cd 2.84-2.98